1.
K2AgBr3Cl, optimized geometry, DFT PBE; energy relative to the elements, uncorrected = -1.123 eV per atom; electronic total energy = -2.83 eV/atom; space-group type = Immm
1.0
-2.594 2.652 8.383
2.594 -2.652 8.383
2.594 2.652 -8.383
K Ag Br Cl
2 1 3 1
direct
0.137 0.137 0.000
0.863 0.863 0.000
0.500 0.500 0.000
0.000 0.500 0.500
0.335 0.335 0.000
0.665 0.665 0.000
0.500 0.000 0.500

2.
Li2Sn2Pt, optimized geometry, DFT PBE; electronic total energy = -4.08 eV/atom; formation energy = -2.520 eV per formula unit; space-group type = C2/m
1.0
5.030 -2.243 0.000
5.030 2.243 0.000
-4.502 0.000 8.569
Li Sn Pt
4 4 2
direct
0.001 0.001 0.360
0.337 0.337 0.792
0.663 0.663 0.208
0.999 0.999 0.640
0.120 0.120 0.952
0.338 0.338 0.478
0.662 0.662 0.522
0.880 0.880 0.048
0.386 0.386 0.223
0.614 0.614 0.777

3.
NaSr3Zn, optimized geometry, DFT PBE; electronic total energy = -1.53 eV/atom; formation energy = -0.014 eV per formula unit; energy relative to the lowest polymorph listed for this composition = 0.307 eV/f.u.; space-group type = Pm-3m
1.0
6.228 0.000 0.000
0.000 6.228 0.000
0.000 0.000 6.228
Na Sr Zn
1 3 1
direct
0.000 0.000 0.000
0.000 0.500 0.500
0.500 0.000 0.500
0.500 0.500 0.000
0.500 0.500 0.500

4.
Ba2TeAuS5, optimized geometry, DFT PBE; energy relative to the elements, uncorrected = -0.889 eV per atom; electronic total energy = -4.32 eV/atom; space-group type = Cmc2_1
1.0
2.040 -9.318 0.000
2.040 9.318 0.000
0.000 0.000 12.722
Ba Te Au S
4 2 2 10
direct
0.114 0.886 0.500
0.124 0.876 0.110
0.876 0.124 0.610
0.886 0.114 0.000
0.211 0.789 0.811
0.789 0.211 0.311
0.474 0.526 0.265
0.526 0.474 0.765
0.041 0.959 0.860
0.286 0.714 0.453
0.294 0.706 0.167
0.343 0.657 0.806
0.500 0.500 0.082
0.500 0.500 0.582
0.657 0.343 0.306
0.706 0.294 0.667
0.714 0.286 0.953
0.959 0.041 0.360

5.
Hf5Tc2H12, optimized geometry, DFT PBE; electronic total energy = -6.10 eV/atom; space-group type = C2/m
1.0
4.926 -2.731 0.000
4.926 2.731 0.000
-1.208 0.000 6.404
Hf Tc H
5 2 12
direct
0.000 0.000 0.000
0.280 0.280 0.662
0.342 0.342 0.130
0.658 0.658 0.870
0.720 0.720 0.338
0.234 0.766 0.500
0.766 0.234 0.500
0.063 0.595 0.901
0.064 0.064 0.340
0.128 0.512 0.398
0.405 0.937 0.099
0.481 0.481 0.665
0.488 0.872 0.602
0.512 0.128 0.398
0.519 0.519 0.335
0.595 0.063 0.901
0.872 0.488 0.602
0.936 0.936 0.660
0.937 0.405 0.099

6.
Ti3NbN, optimized geometry, DFT PBE; energy relative to the elements, uncorrected = -0.729 eV per atom; electronic total energy = -9.15 eV/atom; energy relative to the lowest polymorph listed for this composition = 0.012 eV/f.u.; space-group type = C2/m
1.0
4.926 -2.157 0.000
4.926 2.157 0.000
-2.702 0.000 6.889
Ti Nb N
6 2 2
direct
0.097 0.097 0.197
0.138 0.138 0.661
0.355 0.355 0.060
0.645 0.645 0.940
0.862 0.862 0.339
0.903 0.903 0.803
0.382 0.382 0.559
0.618 0.618 0.441
0.129 0.129 0.938
0.871 0.871 0.062

> electronic total energy of number 2 (Li2Sn2Pt)?

-4.08 eV/atom

Please write out number 6 again, unchanged.
Ti3NbN, optimized geometry, DFT PBE; energy relative to the elements, uncorrected = -0.729 eV per atom; electronic total energy = -9.15 eV/atom; energy relative to the lowest polymorph listed for this composition = 0.012 eV/f.u.; space-group type = C2/m
1.0
4.926 -2.157 0.000
4.926 2.157 0.000
-2.702 0.000 6.889
Ti Nb N
6 2 2
direct
0.097 0.097 0.197
0.138 0.138 0.661
0.355 0.355 0.060
0.645 0.645 0.940
0.862 0.862 0.339
0.903 0.903 0.803
0.382 0.382 0.559
0.618 0.618 0.441
0.129 0.129 0.938
0.871 0.871 0.062

> Look up the electronic total energy of the third one.

-1.53 eV/atom

> Which formula does entry 3 have?

NaSr3Zn